1.
Density functional theory data (PBE) for a geometry-optimized LiNdIn4Ag2 structure.

## Properties
Size of the total moment: 0.00 μB/cell
Formation enthalpy at 0 K: -0.237 eV/atom
DOS at the Fermi energy: 0.47 states/eV/atom

Cell lengths 4.8217, 4.8217, 26.9225 Å; angles 90.00, 90.00, 120.00 degrees
Space group R-3m (No. 166, hexagonal axes)
Inequivalent atoms, fractional coordinates:
Li 0.0000 0.0000 0.0000 (multiplicity 3)
Nd 0.0000 0.0000 0.5000 (multiplicity 3)
In 0.0000 0.0000 0.1084 (multiplicity 6)
In 0.0000 0.0000 0.3721 (multiplicity 6)
Ag 0.0000 0.0000 0.2591 (multiplicity 6)

=====

2.
Density functional theory data (PBE) for a geometry-optimized Li2In2Ni2Ag structure.

## Properties
Size of the total moment: 0.00 μB/cell
Formation enthalpy at 0 K: -0.118 eV/atom
DOS at the Fermi energy: 0.48 states/eV/atom

Cell lengths 9.4686, 4.2490, 5.5748 Å; angles 90.00, 90.89, 90.00 degrees
Space group C2/m (No. 12)
Inequivalent atoms, fractional coordinates:
Li 0.0849 0.0000 0.3025 (multiplicity 4)
In 0.2077 0.0000 0.7973 (multiplicity 4)
Ni 0.1221 0.5000 0.5639 (multiplicity 4)
Ag 0.0000 0.5000 0.0000 (multiplicity 2)

=====

3.
Density functional theory data (PBE) for a geometry-optimized LiPaInAg structure.

## Properties
Size of the total moment: 5.27 μB/cell
Formation enthalpy at 0 K: 0.102 eV/atom
DOS at the Fermi energy: 1.58 states/eV/atom

Cell lengths 6.9804, 6.9804, 6.9804 Å; angles 90.00, 90.00, 90.00 degrees
Space group F-43m (No. 216)
Inequivalent atoms, fractional coordinates:
Li 0.0000 0.0000 0.0000 (multiplicity 4)
Pa 0.2500 0.2500 0.2500 (multiplicity 4)
In 0.2500 0.2500 0.7500 (multiplicity 4)
Ag 0.0000 0.0000 0.5000 (multiplicity 4)

=====

4.
Density functional theory data (PBE) for a geometry-optimized Li5In2Ag2Pb structure.

## Properties
Size of the total moment: 0.00 μB/cell
Formation enthalpy at 0 K: -0.170 eV/atom
DOS at the Fermi energy: 0.45 states/eV/atom

Cell lengths 10.6162, 10.6162, 3.4811 Å; angles 90.00, 90.00, 90.00 degrees
Space group P4/mbm (No. 127)
Inequivalent atoms, fractional coordinates:
Li 0.0000 0.5000 0.0000 (multiplicity 2)
Li 0.0833 0.1938 0.0000 (multiplicity 8)
In 0.1667 0.6667 0.5000 (multiplicity 4)
Ag 0.1293 0.3707 0.5000 (multiplicity 4)
Pb 0.0000 0.0000 0.5000 (multiplicity 2)

=====

5.
Density functional theory data (PBE) for a geometry-optimized Li2In2Ag2Pb structure.

## Properties
Size of the total moment: 0.00 μB/cell
Formation enthalpy at 0 K: -0.107 eV/atom
DOS at the Fermi energy: 0.45 states/eV/atom

Cell lengths 4.7235, 4.7235, 22.8564 Å; angles 90.00, 90.00, 120.00 degrees
Space group R-3m (No. 166, hexagonal axes)
Inequivalent atoms, fractional coordinates:
Li 0.0000 0.0000 0.2221 (multiplicity 6)
In 0.0000 0.0000 0.3616 (multiplicity 6)
Ag 0.0000 0.0000 0.0872 (multiplicity 6)
Pb 0.0000 0.0000 0.5000 (multiplicity 3)

=====

6.
Density functional theory data (PBE) for a geometry-optimized Li2InAgPb structure.

## Properties
Size of the total moment: 0.00 μB/cell
Formation enthalpy at 0 K: -0.129 eV/atom
DOS at the Fermi energy: 0.33 states/eV/atom

Cell lengths 5.4334, 6.1078, 6.7599 Å; angles 90.00, 90.00, 90.00 degrees
Space group Pmma (No. 51)
Inequivalent atoms, fractional coordinates:
Li 0.2500 0.2389 0.2221 (multiplicity 4)
In 0.2500 0.5000 0.8737 (multiplicity 2)
Ag 0.0000 0.5000 0.5000 (multiplicity 2)
Pb 0.2500 0.0000 0.6591 (multiplicity 2)

=====

7.
Density functional theory data (PBE) for a geometry-optimized LiIn4AgPd2 structure.

## Properties
Size of the total moment: 0.00 μB/cell
Formation enthalpy at 0 K: -0.319 eV/atom
DOS at the Fermi energy: 0.41 states/eV/atom

Cell lengths 4.7233, 4.7233, 23.2909 Å; angles 90.00, 90.00, 120.00 degrees
Space group R-3m (No. 166, hexagonal axes)
Inequivalent atoms, fractional coordinates:
Li 0.0000 0.0000 0.0000 (multiplicity 3)
In 0.0000 0.0000 0.1227 (multiplicity 6)
In 0.0000 0.0000 0.3742 (multiplicity 6)
Ag 0.0000 0.0000 0.5000 (multiplicity 3)
Pd 0.0000 0.0000 0.2527 (multiplicity 6)

=====

8.
Density functional theory data (PBE) for a geometry-optimized Li2PmIn4Ag structure.

## Properties
Size of the total moment: 0.00 μB/cell
Formation enthalpy at 0 K: -0.282 eV/atom
DOS at the Fermi energy: 0.27 states/eV/atom

Cell lengths 4.7350, 4.7350, 27.8515 Å; angles 90.00, 90.00, 120.00 degrees
Space group R-3m (No. 166, hexagonal axes)
Inequivalent atoms, fractional coordinates:
Li 0.0000 0.0000 0.2377 (multiplicity 6)
Pm 0.0000 0.0000 0.0000 (multiplicity 3)
In 0.0000 0.0000 0.1221 (multiplicity 6)
In 0.0000 0.0000 0.3948 (multiplicity 6)
Ag 0.0000 0.0000 0.5000 (multiplicity 3)

=====

9.
Density functional theory data (PBE) for a geometry-optimized LiPmIn2Ag4 structure.

## Properties
Size of the total moment: 0.00 μB/cell
Formation enthalpy at 0 K: -0.250 eV/atom
DOS at the Fermi energy: 0.51 states/eV/atom

Cell lengths 4.8482, 4.8482, 24.3518 Å; angles 90.00, 90.00, 120.00 degrees
Space group R-3m (No. 166, hexagonal axes)
Inequivalent atoms, fractional coordinates:
Li 0.0000 0.0000 0.0000 (multiplicity 3)
Pm 0.0000 0.0000 0.5000 (multiplicity 3)
In 0.0000 0.0000 0.2489 (multiplicity 6)
Ag 0.0000 0.0000 0.1094 (multiplicity 6)
Ag 0.0000 0.0000 0.3684 (multiplicity 6)

=====

10.
Density functional theory data (PBE) for a geometry-optimized Li4PmIn2Ag structure.

## Properties
Size of the total moment: 0.00 μB/cell
Formation enthalpy at 0 K: -0.223 eV/atom
DOS at the Fermi energy: 0.58 states/eV/atom

Cell lengths 4.8671, 4.8671, 23.5966 Å; angles 90.00, 90.00, 120.00 degrees
Space group R-3m (No. 166, hexagonal axes)
Inequivalent atoms, fractional coordinates:
Li 0.0000 0.0000 0.1084 (multiplicity 6)
Li 0.0000 0.0000 0.3636 (multiplicity 6)
Pm 0.0000 0.0000 0.5000 (multiplicity 3)
In 0.0000 0.0000 0.2424 (multiplicity 6)
Ag 0.0000 0.0000 0.0000 (multiplicity 3)

=====

11.
Density functional theory data (PBE) for a geometry-optimized LiPrIn2Ag4 structure.

## Properties
Size of the total moment: 0.00 μB/cell
Formation enthalpy at 0 K: -0.245 eV/atom
DOS at the Fermi energy: 0.57 states/eV/atom

Cell lengths 4.8052, 4.8052, 25.3236 Å; angles 90.00, 90.00, 120.00 degrees
Space group R-3m (No. 166, hexagonal axes)
Inequivalent atoms, fractional coordinates:
Li 0.0000 0.0000 0.0000 (multiplicity 3)
Pr 0.0000 0.0000 0.5000 (multiplicity 3)
In 0.0000 0.0000 0.2521 (multiplicity 6)
Ag 0.0000 0.0000 0.1046 (multiplicity 6)
Ag 0.0000 0.0000 0.3678 (multiplicity 6)

=====

12.
Density functional theory data (PBE) for a geometry-optimized LiPrIn4Ag2 structure.

## Properties
Size of the total moment: 0.00 μB/cell
Formation enthalpy at 0 K: -0.245 eV/atom
DOS at the Fermi energy: 0.35 states/eV/atom

Cell lengths 4.8114, 4.8114, 27.2527 Å; angles 90.00, 90.00, 120.00 degrees
Space group R-3m (No. 166, hexagonal axes)
Inequivalent atoms, fractional coordinates:
Li 0.0000 0.0000 0.0000 (multiplicity 3)
Pr 0.0000 0.0000 0.5000 (multiplicity 3)
In 0.0000 0.0000 0.1075 (multiplicity 6)
In 0.0000 0.0000 0.3721 (multiplicity 6)
Ag 0.0000 0.0000 0.2605 (multiplicity 6)